The following is a PBE calculation of DyThRe4 after structural relaxation, from the Alexandria database.

## Properties
Relative energy among the computed polymorphs, meV per atom: 68
Energy relative to the elements, eV/atom: -0.0782
Mass density, g/cm3: 16.19
D(E_F), states/eV/f.u.: 11.819
Magnetic moment, μB/f.u.: 0.00
Total DFT energy (no corrections), eV per atom: -10.381

Unit cell a=7.7607 b=7.7607 c=7.7607 alpha=90.00 beta=90.00 gamma=90.00
Closest atoms and distances in Å follow each position.
Space group F-43m (No. 216)
Inequivalent atoms, fractional coordinates:
Dy: 0.0000 0.0000 0.0000 x4  12 Re 3.22, 4 Th 3.36
Th: 0.2500 0.2500 0.2500 x4  12 Re 3.22, 4 Dy 3.36
Re: 0.1252 0.1252 0.6252 x16  6 Re 2.74-2.75

***

The following is a PBE calculation of Rb2Tb2Te2Se after structural relaxation, from the Alexandria database.

## Properties
Formation energy without anion corrections, eV/atom: -1.144
Mass density, g/cm3: 5.04
D(E_F), states/eV/f.u.: 5.154
Magnetic moment, μB/f.u.: 0.12
Total DFT energy (no corrections), eV per atom: -4.139

Unit cell a=5.4532 b=5.4532 c=18.2369 alpha=90.00 beta=90.00 gamma=90.00
Closest atoms and distances in Å follow each position.
Space group I4/mmm (No. 139)
Inequivalent atoms, fractional coordinates:
Rb: 0.0000 0.0000 0.1855 x4  1 Se 3.38, 1 Te 3.77
Tb: 0.0000 0.5000 0.0000 x4  2 Se 2.73
Te: 0.0000 0.0000 0.3924 x4  4 Tb 3.36
Se: 0.0000 0.0000 0.0000 x2  4 Tb 2.73

***

The following is a PBE calculation of NaCo2Ni2 after structural relaxation, from the Alexandria database.

## Properties
Relative energy among the computed polymorphs, meV per atom: 31
Energy relative to the elements, eV/atom: 0.2623
Mass density, g/cm3: 6.61
D(E_F), states/eV/f.u.: 4.712
Magnetic moment, μB/f.u.: 4.52
Total DFT energy (no corrections), eV per atom: -5.156

Unit cell a=7.2533 b=7.2533 c=2.4665 alpha=90.00 beta=90.00 gamma=90.00
Closest atoms and distances in Å follow each position.
Space group P4/mbm (No. 127)
Inequivalent atoms, fractional coordinates:
Na: 0.0000 0.0000 0.0000 x2  2 Na 2.47
Co: 0.1679 0.3321 0.5000 x4  6 Ni 2.46-2.48, 2 Co 2.47
Ni: 0.1228 0.6228 0.0000 x4  6 Co 2.46-2.48, 3 Ni 2.47-2.52

***

The following is a PBE calculation of NaScTa2 after structural relaxation, from the Alexandria database.

## Properties
Relative energy among the computed polymorphs, meV per atom: 147
Energy relative to the elements, eV/atom: 1.1023
Mass density, g/cm3: 8.89
D(E_F), states/eV/f.u.: 6.834
Magnetic moment, μB/f.u.: 0.00
Total DFT energy (no corrections), eV per atom: -6.737

Unit cell a=6.8485 b=6.8485 c=6.8485 alpha=90.00 beta=90.00 gamma=90.00
Closest atoms and distances in Å follow each position.
Space group Fm-3m (No. 225)
Inequivalent atoms, fractional coordinates:
Na: 0.0000 0.0000 0.0000 x4  8 Ta 2.97
Sc: 0.0000 0.0000 0.5000 x4  8 Ta 2.97
Ta: 0.2500 0.2500 0.2500 x8  4 Na 2.97, 4 Sc 2.97

***

The following is a PBE calculation of Cd5In3Hg3 after structural relaxation, from the Alexandria database.

## Properties
Relative energy among the computed polymorphs, meV per atom: 44
Energy relative to the elements, eV/atom: 0.1131
Mass density, g/cm3: 8.31
D(E_F), states/eV/f.u.: 3.857
Magnetic moment, μB/f.u.: 0.00
Total DFT energy (no corrections), eV per atom: -1.132

Unit cell a=9.6420 b=9.6420 c=3.7419 alpha=90.00 beta=90.00 gamma=120.00
Closest atoms and distances in Å follow each position.
Space group P-62m (No. 189)
Inequivalent atoms, fractional coordinates:
Cd: 0.0000 0.3467 0.0000 x3  2 Hg 2.90, 2 In 2.97, 2 Cd 3.15
Cd: 0.3333 0.6667 0.0000 x2  3 Cd 3.15, 6 In 3.45
In: 0.0000 0.5857 0.5000 x3  2 Hg 2.94, 2 Cd 2.97
Hg: 0.0000 0.8209 0.0000 x3  2 Cd 2.90, 2 In 2.94, 2 Hg 2.99

***

The following is a PBE calculation of BaCoNi2 after structural relaxation, from the Alexandria database.

## Properties
Energy relative to the elements, eV/atom: 0.8274
Mass density, g/cm3: 7.42
D(E_F), states/eV/f.u.: 6.667
Magnetic moment, μB/f.u.: 2.07
Total DFT energy (no corrections), eV per atom: -4.320

Unit cell a=5.6890 b=7.3532 c=3.3572 alpha=90.00 beta=90.00 gamma=90.00
Closest atoms and distances in Å follow each position.
Space group Cmmm (No. 65)
Inequivalent atoms, fractional coordinates:
Ba: 0.0000 0.0000 0.0000 x2  2 Co 2.84, 8 Ni 2.87
Co: 0.0000 0.5000 0.0000 x2  2 Ba 2.84, 8 Ni 2.87
Ni: 0.2500 0.2500 0.5000 x4  2 Ni 2.84, 4 Ba 2.87, 4 Co 2.87

***

The following is a PBE calculation of Nd2CuP after structural relaxation, from the Alexandria database.

## Properties
Energy relative to the elements, eV/atom: -0.7218
Mass density, g/cm3: 6.09
D(E_F), states/eV/f.u.: 5.183
Magnetic moment, μB/f.u.: 0.00
Total DFT energy (no corrections), eV per atom: -5.482

Unit cell a=4.1527 b=4.1527 c=20.9630 alpha=90.00 beta=90.00 gamma=120.00
Closest atoms and distances in Å follow each position.
Space group R-3m (No. 166, hexagonal axes)
Inequivalent atoms, fractional coordinates:
Nd: 0.0000 0.0000 0.2431 x6  3 P 2.88, 3 Cu 3.05
Cu: 0.0000 0.0000 0.0000 x3  6 Nd 3.05
P: 0.0000 0.0000 0.5000 x3  6 Nd 2.88

***

The following is a PBE calculation of Li3SnSb2 after structural relaxation, from the Alexandria database.

## Properties
Relative energy among the computed polymorphs, meV per atom: 74
Formation energy without anion corrections, eV/atom: -0.315
Mass density, g/cm3: 4.70
D(E_F), states/eV/f.u.: 1.512
Magnetic moment, μB/f.u.: 0.00
Total DFT energy (no corrections), eV per atom: -3.313

Unit cell a=16.6114 b=5.4368 c=6.5031 alpha=90.00 beta=112.92 gamma=90.00
Closest atoms and distances in Å follow each position.
Space group C2/c (No. 15)
Inequivalent atoms, fractional coordinates:
Li: 0.0000 0.2140 0.2500 x4  2 Sn 2.70-2.73, 4 Sb 3.00
Li: 0.1881 0.4823 0.4391 x8  6 Sb 3.02-3.32, 1 Sn 3.13, 4 Li 3.16-3.26
Sn: 0.0000 0.2890 0.7500 x4  2 Li 2.70-2.73
Sb: 0.1459 0.0002 0.1452 x8  8 Li 3.00-3.32, 2 Sn 3.18, 2 Sb 3.25

***

The following is a PBE calculation of K2Hg2F after structural relaxation, from the Alexandria database.

## Properties
Relative energy among the computed polymorphs, meV per atom: 275
Formation energy without anion corrections, eV/atom: -0.764
Mass density, g/cm3: 4.72
D(E_F), states/eV/f.u.: 3.387
Magnetic moment, μB/f.u.: 0.00
Total DFT energy (no corrections), eV per atom: -1.698

Unit cell a=8.3518 b=8.3518 c=5.0279 alpha=90.00 beta=90.00 gamma=90.00
Closest atoms and distances in Å follow each position.
Space group P4/mbm (No. 127)
Inequivalent atoms, fractional coordinates:
K: 0.1828 0.3172 0.0000 x4  6 Hg 3.36-3.64
Hg: 0.1280 0.6280 0.5000 x4  1 Hg 3.02, 2 F 3.29, 2 K 3.36
F: 0.0000 0.0000 0.5000 x2  4 Hg 3.29

***

The following is a PBE calculation of La2PN4 after structural relaxation, from the Alexandria database.

## Properties
Relative energy among the computed polymorphs, meV per atom: 0
Formation energy without anion corrections, eV/atom: -1.111
Mass density, g/cm3: 6.13
D(E_F), states/eV/f.u.: 5.216
Magnetic moment, μB/f.u.: 0.00
Total DFT energy (no corrections), eV per atom: -8.049

Unit cell a=7.1204 b=5.6572 c=9.8090 alpha=90.00 beta=90.00 gamma=90.00
Closest atoms and distances in Å follow each position.
Space group Pnma (No. 62)
Inequivalent atoms, fractional coordinates:
La: 0.9995 0.2500 0.1951 x4  7 N 2.51-2.67
La: 0.1578 0.2500 0.5820 x4  1 N 2.40
P: 0.2244 0.2500 0.9205 x4  4 N 1.63-1.66
N: 0.0051 0.7500 0.0768 x4  1 P 1.63
N: 0.1790 0.7500 0.5742 x4  1 P 1.66
N: 0.1975 0.5129 0.3435 x8  1 P 1.64

***

The following is a PBE calculation of RbNb2Se3 after structural relaxation, from the Alexandria database.

## Properties
Formation energy without anion corrections, eV/atom: -0.823
Mass density, g/cm3: 5.47
D(E_F), states/eV/f.u.: 2.825
Magnetic moment, μB/f.u.: 0.40
Total DFT energy (no corrections), eV per atom: -6.083

Unit cell a=4.4492 b=16.2139 c=8.5577 alpha=90.00 beta=90.00 gamma=90.00
Closest atoms and distances in Å follow each position.
Space group Cmcm (No. 63)
Inequivalent atoms, fractional coordinates:
Rb: 0.0000 0.2229 0.2500 x4  8 Se 3.48-3.86
Nb: 0.0000 0.0000 0.0000 x4  6 Se 2.75-2.76
Nb: 0.0000 0.4772 0.2500 x4  6 Se 2.60-2.81
Se: 0.0000 0.1061 0.7500 x4  4 Nb 2.60-2.75
Se: 0.0000 0.4022 0.5460 x8  4 Nb 2.62-2.81

***

The following is a PBE calculation of RbIn2SnOs after structural relaxation, from the Alexandria database.

## Properties
Energy relative to the elements, eV/atom: 0.0741
Mass density, g/cm3: 7.11
D(E_F), states/eV/f.u.: 4.024
Magnetic moment, μB/f.u.: 0.00
Total DFT energy (no corrections), eV per atom: -4.261

Unit cell a=5.2861 b=5.2861 c=5.2145 alpha=90.00 beta=90.00 gamma=90.00
Closest atoms and distances in Å follow each position.
Space group P4/mmm (No. 123)
Inequivalent atoms, fractional coordinates:
Rb: 0.0000 0.0000 0.0000 x1  8 In 3.71, 4 Sn 3.74
In: 0.0000 0.5000 0.5000 x2  2 Os 2.64
Sn: 0.5000 0.5000 0.0000 x1  2 Os 2.61
Os: 0.5000 0.5000 0.5000 x1  2 Sn 2.61, 4 In 2.64

***

The following is a PBE calculation of ThCu4Pd3O12 after structural relaxation, from the Alexandria database.

## Properties
Formation energy without anion corrections, eV/atom: -0.880
Mass density, g/cm3: 7.79
D(E_F), states/eV/f.u.: 13.910
Magnetic moment, μB/f.u.: 0.00
Total DFT energy (no corrections), eV per atom: -5.824

Unit cell a=7.5186 b=7.5186 c=7.5186 alpha=90.00 beta=90.00 gamma=90.00
Closest atoms and distances in Å follow each position.
Space group Im-3 (No. 204)
Inequivalent atoms, fractional coordinates:
Th: 0.0000 0.0000 0.0000 x2  12 O 2.59
Cu: 0.2500 0.2500 0.2500 x8  6 O 1.99
Pd: 0.0000 0.0000 0.5000 x6  4 O 2.02
O: 0.0000 0.2966 0.1747 x24  2 Cu 1.99, 1 Pd 2.02

***

The following is a PBE calculation of Y2ZrIrOs after structural relaxation, from the Alexandria database.

## Properties
Energy relative to the elements, eV/atom: 1.4923
Mass density, g/cm3: 8.36
D(E_F), states/eV/f.u.: 5.352
Magnetic moment, μB/f.u.: 0.31
Total DFT energy (no corrections), eV per atom: -6.821

Unit cell a=5.2550 b=5.2550 c=4.6868 alpha=90.00 beta=90.00 gamma=90.00
Closest atoms and distances in Å follow each position.
Space group P4/mmm (No. 123)
Inequivalent atoms, fractional coordinates:
Y: 0.0000 0.5000 0.0000 x2  2 Zr 2.63
Zr: 0.0000 0.0000 0.0000 x1  2 Ir 2.34
Ir: 0.0000 0.0000 0.5000 x1  2 Zr 2.34
Os: 0.5000 0.5000 0.5000 x1  8 Y 3.52, 4 Ir 3.72

***

The following is a PBE calculation of NaLiCu after structural relaxation, from the Alexandria database.

## Properties
Relative energy among the computed polymorphs, meV per atom: 45
Energy relative to the elements, eV/atom: 0.1469
Mass density, g/cm3: 2.66
D(E_F), states/eV/f.u.: 1.095
Magnetic moment, μB/f.u.: 0.00
Total DFT energy (no corrections), eV per atom: -2.296

Unit cell a=3.2421 b=3.2421 c=11.0918 alpha=90.00 beta=90.00 gamma=90.00
Closest atoms and distances in Å follow each position.
Space group I4mm (No. 107)
Inequivalent atoms, fractional coordinates:
Na: 0.0000 0.0000 0.0000 x2  4 Cu 3.05, 5 Li 3.14-3.33, 4 Na 3.24
Li: 0.0000 0.0000 0.2828 x2  4 Cu 2.55
Cu: 0.0000 0.0000 0.6820 x2  4 Li 2.55

***

The following is a PBE calculation of NaSrCd after structural relaxation, from the Alexandria database.

## Properties
Relative energy among the computed polymorphs, meV per atom: 44
Energy relative to the elements, eV/atom: -0.1413
Mass density, g/cm3: 3.36
D(E_F), states/eV/f.u.: 1.743
Magnetic moment, μB/f.u.: 0.00
Total DFT energy (no corrections), eV per atom: -1.447

Unit cell a=6.4912 b=5.0557 c=7.0023 alpha=90.00 beta=106.59 gamma=90.00
Closest atoms and distances in Å follow each position.
Space group P2_1/m (No. 11)
Inequivalent atoms, fractional coordinates:
Na: 0.0591 0.2500 0.1563 x2  3 Cd 3.23-3.25, 2 Na 3.29
Sr: 0.4355 0.2500 0.7298 x2  4 Cd 3.46-3.49
Cd: 0.1190 0.7500 0.4541 x2  2 Cd 3.12, 3 Na 3.23-3.25, 4 Sr 3.46-3.49

***

The following is a PBE calculation of Ce5SiC after structural relaxation, from the Alexandria database.

## Properties
Formation energy without anion corrections, eV/atom: -0.183
Mass density, g/cm3: 7.88
D(E_F), states/eV/f.u.: 15.745
Magnetic moment, μB/f.u.: 0.00
Total DFT energy (no corrections), eV per atom: -6.514

Unit cell a=10.5155 b=6.3040 c=10.2082 alpha=90.00 beta=112.70 gamma=90.00
Closest atoms and distances in Å follow each position.
Space group C2/c (No. 15)
Inequivalent atoms, fractional coordinates:
Ce: 0.0000 0.0477 0.2500 x4  2 C 2.57
Ce: 0.1337 0.3293 0.0585 x8  1 C 2.45
Ce: 0.2052 0.2151 0.6412 x8  1 C 2.48
Si: 0.0000 0.4594 0.7500 x4  10 Ce 3.02-3.28
C: 0.0000 0.0000 0.0000 x4  6 Ce 2.45-2.57

***

The following is a PBE calculation of TmTh2TlC after structural relaxation, from the Alexandria database.

## Properties
Energy relative to the elements, eV/atom: -0.2981
Mass density, g/cm3: 11.11
D(E_F), states/eV/f.u.: 2.717
Magnetic moment, μB/f.u.: 0.00
Total DFT energy (no corrections), eV per atom: -6.478

Unit cell a=5.0869 b=5.0869 c=4.9063 alpha=90.00 beta=90.00 gamma=90.00
Closest atoms and distances in Å follow each position.
Space group P4/mmm (No. 123)
Inequivalent atoms, fractional coordinates:
Tm: 0.0000 0.0000 0.0000 x1  2 C 2.45
Th: 0.0000 0.5000 0.5000 x2  2 C 2.54
Tl: 0.5000 0.5000 0.0000 x1  8 Th 3.53, 4 Tm 3.60
C: 0.0000 0.0000 0.5000 x1  2 Tm 2.45, 4 Th 2.54

***

The following is a PBE calculation of TlTcPt2 after structural relaxation, from the Alexandria database.

## Properties
Relative energy among the computed polymorphs, meV per atom: 184
Energy relative to the elements, eV/atom: 0.2730
Mass density, g/cm3: 16.96
D(E_F), states/eV/f.u.: 4.498
Magnetic moment, μB/f.u.: 1.09
Total DFT energy (no corrections), eV per atom: -5.930

Unit cell a=4.1640 b=4.1640 c=7.8197 alpha=90.00 beta=90.00 gamma=90.00
Closest atoms and distances in Å follow each position.
Space group I-4m2 (No. 119)
Inequivalent atoms, fractional coordinates:
Tl: 0.0000 0.0000 0.0000 x2  4 Tc 2.86, 8 Pt 2.86-2.94
Tc: 0.0000 0.5000 0.2500 x2  4 Tl 2.86, 8 Pt 2.86-2.94
Pt: 0.0000 0.0000 0.5000 x2  4 Tc 2.86, 4 Pt 2.86, 4 Tl 2.94
Pt: 0.0000 0.5000 0.7500 x2  4 Tl 2.86, 4 Pt 2.86, 4 Tc 2.94

***

The following is a PBE calculation of Tm2BeGaPd6 after structural relaxation, from the Alexandria database.

## Properties
Energy relative to the elements, eV/atom: -0.7088
Mass density, g/cm3: 9.98
D(E_F), states/eV/f.u.: 2.599
Magnetic moment, μB/f.u.: 0.00
Total DFT energy (no corrections), eV per atom: -5.394

Unit cell a=5.6474 b=5.7084 c=6.6738 alpha=72.42 beta=71.44 gamma=60.96
Closest atoms and distances in Å follow each position.
Space group P-1 (No. 2)
Inequivalent atoms, fractional coordinates:
Tm: 0.1587 0.3241 0.2600 x2  9 Pd 2.82-3.01
Be: 0.0000 0.0000 0.0000 x1  6 Pd 2.19-2.30
Ga: 0.5000 0.5000 0.5000 x1  6 Pd 2.48-2.72
Pd: 0.1122 0.8365 0.3178 x2  1 Be 2.20
Pd: 0.3237 0.6498 0.8539 x2  1 Be 2.19
Pd: 0.3302 0.1606 0.8284 x2  1 Be 2.30